Entry 1:
Below is TbMg2Sn3 after structural relaxation, with properties calculated at the PBE level.

Results
The calculation puts the total magnetic moment at 0.00 μB/f.u. The energy above the most stable polymorph in this dataset is 0.00 eV per formula unit. The calculation puts the formation energy at -215.3 kJ/mol of formula units. As for the total energy: -3.677 eV per atom.

Cell: 7.584 7.584 4.362 Å, 90.00 90.00 143.99°
Fractional coordinates of all 6 atoms:
Tb 0.000 0.000 0.000
Mg 0.330 0.670 0.000
Mg 0.670 0.330 0.000
Sn 0.170 0.830 0.500
Sn 0.500 0.500 0.500
Sn 0.830 0.170 0.500

---

Entry 2:
Below is FeRe2Hg after structural relaxation, with properties calculated at the PBE level.

Results
The calculation puts the total magnetic moment at 1.65 μB/f.u. The energy above the most stable polymorph in this dataset is 1.22 eV per formula unit. The calculation puts the formation energy at 261.1 kJ/mol of formula units. As for the total energy: -7.739 eV per atom.

Cell: 4.964 4.964 4.964 Å, 134.49 134.49 66.33°
Fractional coordinates of all 4 atoms:
Fe 0.000 0.000 0.000
Re 0.250 0.750 0.500
Re 0.750 0.250 0.500
Hg 0.500 0.500 0.000

---

Entry 3:
Below is Ta2CdRh after structural relaxation, with properties calculated at the PBE level.

Results
The calculation puts the total magnetic moment at 0.00 μB/f.u. The calculation puts the formation energy at 18.5 kJ/mol of formula units. As for the total energy: -7.945 eV per atom.

Cell: 2.853 4.681 5.221 Å, 90.00 94.42 90.00°
Fractional coordinates of all 4 atoms:
Ta 0.000 0.000 0.000
Ta 0.158 0.500 0.693
Cd 0.584 0.500 0.204
Rh 0.563 0.000 0.515

---

Entry 4:
Below is SrSiSb2N after structural relaxation, with properties calculated at the PBE level.

Results
The calculation puts the total magnetic moment at 0.00 μB/f.u. The uncorrected formation energy comes out at 0.187 eV/atom. As for the total energy: -4.548 eV per atom.

Cell: 4.726 4.726 5.040 Å, 90.00 90.00 90.00°
Fractional coordinates of all 5 atoms:
Sr 0.000 0.000 0.000
Si 0.500 0.500 0.000
Sb 0.000 0.500 0.500
Sb 0.500 0.000 0.500
N 0.000 0.000 0.500

---

Entry 5:
Below is YTmCo after structural relaxation, with properties calculated at the PBE level.

Results
The calculation puts the total magnetic moment at 0.00 μB/f.u. The energy above the most stable polymorph in this dataset is 0.34 eV per formula unit. The calculation puts the formation energy at -13.3 kJ/mol of formula units. As for the total energy: -6.060 eV per atom.

Cell: 3.846 3.846 6.134 Å, 90.00 90.00 120.00°
Fractional coordinates of all 3 atoms:
Y 0.000 0.000 0.000
Tm 0.667 0.333 0.467
Co 0.333 0.667 0.239

---

Entry 6:
Below is La2CuSi4Ir3 after structural relaxation, with properties calculated at the PBE level.

Results
The calculation puts the total magnetic moment at 0.00 μB/f.u. The uncorrected formation energy comes out at -0.886 eV/atom. As for the total energy: -7.109 eV per atom.

Cell: 4.245 4.245 9.913 Å, 90.00 90.00 90.00°
Fractional coordinates of all 10 atoms:
La 0.000 0.500 0.245
La 0.500 0.000 0.755
Cu 0.000 0.000 0.500
Si 0.000 0.000 0.000
Si 0.000 0.500 0.629
Si 0.500 0.000 0.371
Si 0.500 0.500 0.000
Ir 0.000 0.500 0.875
Ir 0.500 0.000 0.125
Ir 0.500 0.500 0.500

---

Entry 7:
Below is MoOsS2Cl after structural relaxation, with properties calculated at the PBE level.

Results
The calculation puts the total magnetic moment at 3.41 μB/f.u. The uncorrected formation energy comes out at 0.954 eV/atom. The energy above the most stable polymorph in this dataset is 0.00 eV per formula unit. As for the total energy: -5.479 eV per atom.

Cell: 4.612 4.612 4.848 Å, 90.00 90.00 90.00°
Fractional coordinates of all 5 atoms:
Mo 0.000 0.000 0.000
Os 0.500 0.500 0.500
S 0.000 0.500 0.500
S 0.500 0.000 0.500
Cl 0.500 0.500 0.000

---

Entry 8:
Below is Nd4Dy2Ho3 after structural relaxation, with properties calculated at the PBE level.

Results
The calculation puts the total magnetic moment at 0.00 μB/f.u. The energy above the most stable polymorph in this dataset is 0.00 eV per formula unit. The calculation puts the formation energy at 49.6 kJ/mol of formula units. As for the total energy: -4.610 eV per atom.

Cell: 3.612 3.612 26.703 Å, 90.00 90.00 120.00°
Fractional coordinates of all 9 atoms:
Nd 0.000 0.000 0.000
Nd 0.000 0.000 0.216
Nd 0.333 0.667 0.332
Nd 0.333 0.667 0.550
Dy 0.000 0.000 0.660
Dy 0.000 0.000 0.869
Ho 0.000 0.000 0.441
Ho 0.333 0.667 0.106
Ho 0.333 0.667 0.766

---

Entry 9:
Below is Cs6Br4Cl after structural relaxation, with properties calculated at the PBE level.

Results
The calculation puts the total magnetic moment at 0.00 μB/f.u. The uncorrected formation energy comes out at -1.565 eV/atom. As for the total energy: -2.807 eV per atom.

Cell: 10.466 10.466 10.466 Å, 91.04 91.04 91.04°
Fractional coordinates of all 22 atoms:
Cs 0.057 0.912 0.691
Cs 0.088 0.309 0.943
Cs 0.191 0.412 0.557
Cs 0.309 0.943 0.088
Cs 0.412 0.557 0.191
Cs 0.443 0.809 0.588
Cs 0.557 0.191 0.412
Cs 0.588 0.443 0.809
Cs 0.691 0.057 0.912
Cs 0.809 0.588 0.443
Cs 0.912 0.691 0.057
Cs 0.943 0.088 0.309
Br 0.130 0.750 0.370
Br 0.250 0.250 0.250
Br 0.250 0.630 0.870
Br 0.370 0.130 0.750
Br 0.630 0.870 0.250
Br 0.750 0.370 0.130
Br 0.750 0.750 0.750
Br 0.870 0.250 0.630
Cl 0.000 0.000 0.000
Cl 0.500 0.500 0.500

---

Entry 10:
Below is NpBiO4 after structural relaxation, with properties calculated at the PBE level.

Results
The calculation puts the total magnetic moment at 2.00 μB/f.u. The uncorrected formation energy comes out at -2.198 eV/atom. As for the total energy: -8.307 eV per atom.

Cell: 6.796 6.586 5.531 Å, 67.59 63.62 48.79°
Fractional coordinates of all 12 atoms:
Np 0.125 0.125 0.125
Np 0.875 0.875 0.875
Bi 0.375 0.375 0.375
Bi 0.625 0.625 0.625
O 0.033 0.468 0.229
O 0.229 0.771 0.033
O 0.229 0.771 0.532
O 0.468 0.033 0.771
O 0.532 0.967 0.229
O 0.771 0.229 0.468
O 0.771 0.229 0.967
O 0.967 0.532 0.771

---

Entry 11:
Below is TbNd4Sm3 after structural relaxation, with properties calculated at the PBE level.

Results
The calculation puts the total magnetic moment at 0.00 μB/f.u. The energy above the most stable polymorph in this dataset is 0.98 eV per formula unit. The calculation puts the formation energy at 118.7 kJ/mol of formula units. As for the total energy: -4.579 eV per atom.

Cell: 12.011 12.011 6.930 Å, 106.69 106.69 16.86°
Fractional coordinates of all 8 atoms:
Tb 0.000 0.000 0.000
Nd 0.241 0.241 0.239
Nd 0.376 0.376 0.635
Nd 0.624 0.624 0.365
Nd 0.759 0.759 0.761
Sm 0.377 0.377 0.117
Sm 0.500 0.500 0.500
Sm 0.623 0.623 0.883

---

Entry 12:
Below is Ho4Ge2Sb after structural relaxation, with properties calculated at the PBE level.

Results
The calculation puts the total magnetic moment at 0.00 μB/f.u. The uncorrected formation energy comes out at -0.885 eV/atom. As for the total energy: -5.409 eV per atom.

Cell: 7.728 7.728 7.728 Å, 109.00 109.00 110.42°
Fractional coordinates of all 14 atoms:
Ho 0.110 0.504 0.745
Ho 0.115 0.009 0.755
Ho 0.254 0.360 0.245
Ho 0.496 0.241 0.606
Ho 0.635 0.890 0.394
Ho 0.640 0.885 0.894
Ho 0.759 0.365 0.255
Ho 0.991 0.746 0.106
Ge 0.007 0.125 0.382
Ge 0.375 0.993 0.118
Ge 0.743 0.625 0.618
Ge 0.875 0.257 0.882
Sb 0.250 0.750 0.500
Sb 0.500 0.500 0.000

---

Entry 13:
Below is Sb4PbCl after structural relaxation, with properties calculated at the PBE level.

Results
The calculation puts the total magnetic moment at 0.00 μB/f.u. The uncorrected formation energy comes out at 0.054 eV/atom. As for the total energy: -3.620 eV per atom.

Cell: 6.338 6.338 6.338 Å, 60.00 60.00 60.00°
Fractional coordinates of all 6 atoms:
Sb 0.118 0.118 0.118
Sb 0.118 0.118 0.646
Sb 0.118 0.646 0.118
Sb 0.646 0.118 0.118
Pb 0.500 0.500 0.500
Cl 0.750 0.750 0.750

---

Entry 14:
Below is Li2LaTc after structural relaxation, with properties calculated at the PBE level.

Results
The calculation puts the total magnetic moment at 1.57 μB/f.u. The energy above the most stable polymorph in this dataset is 1.44 eV per formula unit. The calculation puts the formation energy at 228.9 kJ/mol of formula units. As for the total energy: -4.187 eV per atom.

Cell: 10.703 10.703 10.703 Å, 15.82 15.82 15.82°
Fractional coordinates of all 4 atoms:
Li 0.236 0.236 0.236
Li 0.764 0.764 0.764
La 0.000 0.000 0.000
Tc 0.500 0.500 0.500

---

Entry 15:
Below is Cs3SrGe2Br9 after structural relaxation, with properties calculated at the PBE level.

Results
The calculation puts the total magnetic moment at 0.00 μB/f.u. The uncorrected formation energy comes out at -1.387 eV/atom. As for the total energy: -3.289 eV per atom.

Cell: 8.130 8.130 9.989 Å, 90.00 90.00 120.00°
Fractional coordinates of all 15 atoms:
Cs 0.000 0.000 0.000
Cs 0.333 0.667 0.677
Cs 0.667 0.333 0.323
Sr 0.000 0.000 0.500
Ge 0.333 0.667 0.157
Ge 0.667 0.333 0.843
Br 0.000 0.500 0.000
Br 0.173 0.347 0.324
Br 0.173 0.827 0.324
Br 0.347 0.173 0.676
Br 0.500 0.000 0.000
Br 0.500 0.500 0.000
Br 0.653 0.827 0.324
Br 0.827 0.173 0.676
Br 0.827 0.653 0.676

---

Entry 16:
Below is KSc4Au3O12 after structural relaxation, with properties calculated at the PBE level.

Results
The calculation puts the total magnetic moment at 0.00 μB/f.u. The uncorrected formation energy comes out at -1.873 eV/atom. As for the total energy: -6.660 eV per atom.

Cell: 6.889 6.889 6.889 Å, 109.47 109.47 109.47°
Fractional coordinates of all 20 atoms:
K 0.000 0.000 0.000
Sc 0.000 0.000 0.500
Sc 0.000 0.500 0.000
Sc 0.500 0.000 0.000
Sc 0.500 0.500 0.500
Au 0.000 0.500 0.500
Au 0.500 0.000 0.500
Au 0.500 0.500 0.000
O 0.141 0.826 0.315
O 0.174 0.315 0.490
O 0.174 0.685 0.859
O 0.315 0.141 0.826
O 0.315 0.490 0.174
O 0.490 0.174 0.315
O 0.510 0.826 0.685
O 0.685 0.510 0.826
O 0.685 0.859 0.174
O 0.826 0.315 0.141
O 0.826 0.685 0.510
O 0.859 0.174 0.685

---

Entry 17:
Below is SbRuI2F after structural relaxation, with properties calculated at the PBE level.

Results
The calculation puts the total magnetic moment at 2.77 μB/f.u. The uncorrected formation energy comes out at 0.521 eV/atom. The energy above the most stable polymorph in this dataset is 1.69 eV per formula unit. As for the total energy: -3.153 eV per atom.

Cell: 5.795 5.795 4.190 Å, 90.00 90.00 90.00°
Fractional coordinates of all 5 atoms:
Sb 0.000 0.000 0.000
Ru 0.500 0.500 0.000
I 0.000 0.500 0.500
I 0.500 0.000 0.500
F 0.000 0.000 0.500

---

Entry 18:
Below is Er2Tm2Mg5 after structural relaxation, with properties calculated at the PBE level.

Results
The calculation puts the total magnetic moment at 0.00 μB/f.u. The calculation puts the formation energy at 79.7 kJ/mol of formula units. As for the total energy: -2.802 eV per atom.

Cell: 9.460 9.460 9.460 Å, 85.45 107.44 141.22°
Fractional coordinates of all 18 atoms:
Er 0.000 0.000 0.000
Er 0.000 0.500 0.500
Er 0.046 0.806 0.740
Er 0.066 0.306 0.260
Tm 0.522 0.149 0.619
Tm 0.522 0.403 0.873
Tm 0.529 0.649 0.127
Tm 0.529 0.903 0.381
Mg 0.049 0.162 0.597
Mg 0.049 0.952 0.387
Mg 0.172 0.657 0.015
Mg 0.467 0.160 0.188
Mg 0.467 0.779 0.807
Mg 0.565 0.452 0.403
Mg 0.565 0.662 0.613
Mg 0.642 0.157 0.985
Mg 0.972 0.279 0.812
Mg 0.972 0.660 0.193

---

Entry 19:
Below is Sm4Hg2SeS after structural relaxation, with properties calculated at the PBE level.

Results
The calculation puts the total magnetic moment at 0.00 μB/f.u. The uncorrected formation energy comes out at -1.164 eV/atom. As for the total energy: -4.551 eV per atom.

Cell: 7.041 4.045 7.963 Å, 90.00 106.97 90.00°
Fractional coordinates of all 8 atoms:
Sm 0.232 0.000 0.218
Sm 0.252 0.500 0.777
Sm 0.748 0.500 0.223
Sm 0.768 0.000 0.782
Hg 0.000 0.000 0.500
Hg 0.500 0.500 0.500
Se 0.500 0.000 0.000
S 0.000 0.500 0.000